This record from Alexandria via LeMat-Bulk describes an optimized crystal structure of SmAlGe2Pd4. The functional is PBE.

DFT total energy	-5.5086	eV per atom
total moment	0.000	μB per cell

Cell and atoms, written as CIF:
```
data_SmAlGe2Pd4
_chemical_formula_sum 'Sm3 Al3 Ge6 Pd12'
_space_group_name_H-M_alt 'R -3 m'
_space_group_IT_number 166
_space_group_name_Hall '-R 3 2"'
_cell_length_a 4.3251
_cell_length_b 4.3251
_cell_length_c 26.0492
_cell_angle_alpha 90.00
_cell_angle_beta 90.00
_cell_angle_gamma 120.00
loop_
_atom_site_label
_atom_site_type_symbol
_atom_site_fract_x
_atom_site_fract_y
_atom_site_fract_z
Sm1 Sm 0.0000 0.0000 0.0000
Al1 Al 0.0000 0.0000 0.5000
Ge1 Ge 0.0000 0.0000 0.2538
Pd1 Pd 0.0000 0.0000 0.1368
Pd2 Pd 0.0000 0.0000 0.4058
```